Here is crystalline LiCa2S2 at its relaxed geometry from Alexandria via LeMat-Bulk. Energies are from PBE.

Output
Formation energy without anion corrections: -1.5161 eV per atom
Fermi-level density of states: 1.27 states/eV/cell

Unit cell a=7.475 b=7.475 c=3.805 alpha=90.00 beta=90.00 gamma=90.00
Space group P4/mbm (No. 127)
Asymmetric unit:
Li: 0.000 0.000 0.000
Ca: 0.154 0.346 0.500
S: 0.159 0.659 0.000